Entry i
A geometry-optimized SbMo3W structure. Source: the Alexandria database, functional PBE.

Calculated values
Crystal system: cubic

Geometry as CIF:
```
data_SbMo3W
_cell_length_a 4.770
_cell_length_b 4.770
_cell_length_c 4.770
_cell_angle_alpha 90.00
_cell_angle_beta 90.00
_cell_angle_gamma 90.00
_symmetry_space_group_name_H-M 'P m -3 m'
_symmetry_Int_Tables_number 221
_symmetry_space_group_name_Hall '-P 4 2 3'
loop_
_atom_site_label
_atom_site_type_symbol
_atom_site_fract_x
_atom_site_fract_y
_atom_site_fract_z
_atom_site_occupancy
Sb1 Sb 0.000 0.000 0.000 1
Mo1 Mo 0.000 0.000 0.500 1
W1 W 0.500 0.500 0.500 1
```

***

Entry ii
A geometry-optimized SbMo3W structure. Source: the Alexandria database, functional PBE.

Calculated values
Crystal system: cubic

Geometry as CIF:
```
data_SbMo3W
_cell_length_a 4.808
_cell_length_b 4.808
_cell_length_c 4.808
_cell_angle_alpha 90.00
_cell_angle_beta 90.00
_cell_angle_gamma 90.00
_symmetry_space_group_name_H-M 'P m -3 m'
_symmetry_Int_Tables_number 221
_symmetry_space_group_name_Hall '-P 4 2 3'
loop_
_atom_site_label
_atom_site_type_symbol
_atom_site_fract_x
_atom_site_fract_y
_atom_site_fract_z
_atom_site_occupancy
Sb1 Sb 0.000 0.000 0.000 1
Mo1 Mo 0.000 0.500 0.500 1
W1 W 0.500 0.500 0.500 1
```

***

The winner here is entry ii, beating the second structure by 0.722 eV/atom.

***

Entry i
A geometry-optimized YSb2Mo structure. Source: the Alexandria database, functional PBE.

Calculated values
Crystal system: trigonal

Geometry as CIF:
```
data_YSb2Mo
_cell_length_a 3.6579
_cell_length_b 3.6579
_cell_length_c 24.9353
_cell_angle_alpha 90.00
_cell_angle_beta 90.00
_cell_angle_gamma 120.00
_symmetry_space_group_name_H-M 'R -3 m'
_symmetry_Int_Tables_number 166
_symmetry_space_group_name_Hall '-R 3 2"'
loop_
_atom_site_label
_atom_site_type_symbol
_atom_site_fract_x
_atom_site_fract_y
_atom_site_fract_z
_atom_site_occupancy
Y1 Y 0.0000 0.0000 0.0000 1
Sb1 Sb 0.0000 0.0000 0.2385 1
Mo1 Mo 0.0000 0.0000 0.5000 1
```

***

Entry ii
A geometry-optimized YSb2Mo structure. Source: the Alexandria database, functional PBE.

Calculated values
Crystal system: orthorhombic

Geometry as CIF:
```
data_YSb2Mo
_cell_length_a 3.715
_cell_length_b 4.814
_cell_length_c 10.283
_cell_angle_alpha 90.00
_cell_angle_beta 90.00
_cell_angle_gamma 90.00
_symmetry_space_group_name_H-M 'I m m 2'
_symmetry_Int_Tables_number 44
_symmetry_space_group_name_Hall 'I 2 -2'
loop_
_atom_site_label
_atom_site_type_symbol
_atom_site_fract_x
_atom_site_fract_y
_atom_site_fract_z
_atom_site_occupancy
Y1 Y 0.000 0.000 0.000 1
Sb1 Sb 0.000 0.000 0.456 1
Sb2 Sb 0.000 0.500 0.237 1
Mo1 Mo 0.000 0.500 0.756 1
```

***

The winner here is entry i, beating the second structure by 0.012 eV/atom.

***

Entry i
A geometry-optimized YSb2Mo structure. Source: the Alexandria database, functional PBE.

Calculated values
Crystal system: orthorhombic

Geometry as CIF:
```
data_YSb2Mo
_cell_length_a 7.002
_cell_length_b 7.012
_cell_length_c 3.629
_cell_angle_alpha 90.00
_cell_angle_beta 90.00
_cell_angle_gamma 90.00
_symmetry_space_group_name_H-M 'C m m m'
_symmetry_Int_Tables_number 65
_symmetry_space_group_name_Hall '-C 2 2'
loop_
_atom_site_label
_atom_site_type_symbol
_atom_site_fract_x
_atom_site_fract_y
_atom_site_fract_z
_atom_site_occupancy
Y1 Y 0.000 0.000 0.000 1
Sb1 Sb 0.250 0.250 0.500 1
Mo1 Mo 0.000 0.500 0.000 1
```

***

Entry ii
A geometry-optimized YSb2Mo structure. Source: the Alexandria database, functional PBE.

Calculated values
Crystal system: orthorhombic

Geometry as CIF:
```
data_YSb2Mo
_cell_length_a 3.934
_cell_length_b 4.381
_cell_length_c 5.264
_cell_angle_alpha 90.00
_cell_angle_beta 90.00
_cell_angle_gamma 90.00
_symmetry_space_group_name_H-M 'P m m m'
_symmetry_Int_Tables_number 47
_symmetry_space_group_name_Hall '-P 2 2'
loop_
_atom_site_label
_atom_site_type_symbol
_atom_site_fract_x
_atom_site_fract_y
_atom_site_fract_z
_atom_site_occupancy
Y1 Y 0.000 0.000 0.000 1
Sb1 Sb 0.000 0.500 0.500 1
Sb2 Sb 0.500 0.500 0.000 1
Mo1 Mo 0.500 0.000 0.500 1
```

***

The winner here is entry i, beating the second structure by 0.054 eV/atom.

***

Entry i
A geometry-optimized YSb2Mo structure. Source: the Alexandria database, functional PBE.

Calculated values
Crystal system: tetragonal

Geometry as CIF:
```
data_YSb2Mo
_cell_length_a 3.686
_cell_length_b 3.686
_cell_length_c 6.755
_cell_angle_alpha 90.00
_cell_angle_beta 90.00
_cell_angle_gamma 90.00
_symmetry_space_group_name_H-M 'P 4 m m'
_symmetry_Int_Tables_number 99
_symmetry_space_group_name_Hall 'P 4 -2'
loop_
_atom_site_label
_atom_site_type_symbol
_atom_site_fract_x
_atom_site_fract_y
_atom_site_fract_z
_atom_site_occupancy
Y1 Y 0.000 0.000 0.000 1
Sb1 Sb 0.000 0.000 0.456 1
Sb2 Sb 0.500 0.500 0.749 1
Mo1 Mo 0.500 0.500 0.300 1
```

***

Entry ii
A geometry-optimized YSb2Mo structure. Source: the Alexandria database, functional PBE.

Calculated values
Crystal system: tetragonal

Geometry as CIF:
```
data_YSb2Mo
_cell_length_a 3.422
_cell_length_b 3.422
_cell_length_c 7.552
_cell_angle_alpha 90.00
_cell_angle_beta 90.00
_cell_angle_gamma 90.00
_symmetry_space_group_name_H-M 'P 4/m m m'
_symmetry_Int_Tables_number 123
_symmetry_space_group_name_Hall '-P 4 2'
loop_
_atom_site_label
_atom_site_type_symbol
_atom_site_fract_x
_atom_site_fract_y
_atom_site_fract_z
_atom_site_occupancy
Y1 Y 0.000 0.000 0.000 1
Sb1 Sb 0.500 0.500 0.289 1
Mo1 Mo 0.000 0.000 0.500 1
```

***

Entry iii
A geometry-optimized YSb2Mo structure. Source: the Alexandria database, functional PBE.

Calculated values
Crystal system: orthorhombic

Geometry as CIF:
```
data_YSb2Mo
_cell_length_a 3.888
_cell_length_b 5.062
_cell_length_c 10.517
_cell_angle_alpha 90.00
_cell_angle_beta 90.00
_cell_angle_gamma 90.00
_symmetry_space_group_name_H-M 'C m m 2'
_symmetry_Int_Tables_number 35
_symmetry_space_group_name_Hall 'C 2 -2'
loop_
_atom_site_label
_atom_site_type_symbol
_atom_site_fract_x
_atom_site_fract_y
_atom_site_fract_z
_atom_site_occupancy
Y1 Y 0.000 0.000 0.000 1
Sb1 Sb 0.000 0.000 0.599 1
Sb2 Sb 0.000 0.500 0.241 1
Mo1 Mo 0.000 0.500 0.784 1
```

***

Entry iv
A geometry-optimized YSb2Mo structure. Source: the Alexandria database, functional PBE.

Calculated values
Crystal system: cubic

Geometry as CIF:
```
data_YSb2Mo
_cell_length_a 7.159
_cell_length_b 7.159
_cell_length_c 7.159
_cell_angle_alpha 90.00
_cell_angle_beta 90.00
_cell_angle_gamma 90.00
_symmetry_space_group_name_H-M 'F -4 3 m'
_symmetry_Int_Tables_number 216
_symmetry_space_group_name_Hall 'F -4 2 3'
loop_
_atom_site_label
_atom_site_type_symbol
_atom_site_fract_x
_atom_site_fract_y
_atom_site_fract_z
_atom_site_occupancy
Y1 Y 0.000 0.000 0.000 1
Sb1 Sb 0.000 0.000 0.500 1
Sb2 Sb 0.250 0.250 0.250 1
Mo1 Mo 0.250 0.250 0.750 1
```

***

The winner here is entry ii, beating the second structure by 0.115 eV/atom.

***

Entry i
A geometry-optimized YSb2Mo structure. Source: the Alexandria database, functional PBE.

Calculated values
Crystal system: monoclinic

Geometry as CIF:
```
data_YSb2Mo
_cell_length_a 10.418
_cell_length_b 3.657
_cell_length_c 5.060
_cell_angle_alpha 90.00
_cell_angle_beta 105.83
_cell_angle_gamma 90.00
_symmetry_space_group_name_H-M 'C 1 m 1'
_symmetry_Int_Tables_number 8
_symmetry_space_group_name_Hall 'C -2y'
loop_
_atom_site_label
_atom_site_type_symbol
_atom_site_fract_x
_atom_site_fract_y
_atom_site_fract_z
_atom_site_occupancy
Y1 Y 0.000 0.000 0.000 1
Sb1 Sb 0.253 0.000 0.826 1
Sb2 Sb 0.489 0.000 0.484 1
Mo1 Mo 0.273 0.500 0.403 1
```

***

Entry ii
A geometry-optimized YSb2Mo structure. Source: the Alexandria database, functional PBE.

Calculated values
Crystal system: cubic

Geometry as CIF:
```
data_YSb2Mo
_cell_length_a 7.051
_cell_length_b 7.051
_cell_length_c 7.051
_cell_angle_alpha 90.00
_cell_angle_beta 90.00
_cell_angle_gamma 90.00
_symmetry_space_group_name_H-M 'F m -3 m'
_symmetry_Int_Tables_number 225
_symmetry_space_group_name_Hall '-F 4 2 3'
loop_
_atom_site_label
_atom_site_type_symbol
_atom_site_fract_x
_atom_site_fract_y
_atom_site_fract_z
_atom_site_occupancy
Y1 Y 0.000 0.000 0.000 1
Sb1 Sb 0.250 0.250 0.250 1
Mo1 Mo 0.000 0.000 0.500 1
```

***

The winner here is entry ii, beating the second structure by 0.095 eV/atom.

***

Entry i
A geometry-optimized YSb2Mo structure. Source: the Alexandria database, functional PBE.

Calculated values
Crystal system: monoclinic

Geometry as CIF:
```
data_YSb2Mo
_cell_length_a 8.021
_cell_length_b 3.788
_cell_length_c 6.634
_cell_angle_alpha 90.00
_cell_angle_beta 105.61
_cell_angle_gamma 90.00
_symmetry_space_group_name_H-M 'C 1 2/m 1'
_symmetry_Int_Tables_number 12
_symmetry_space_group_name_Hall '-C 2y'
loop_
_atom_site_label
_atom_site_type_symbol
_atom_site_fract_x
_atom_site_fract_y
_atom_site_fract_z
_atom_site_occupancy
Y1 Y 0.000 0.000 0.000 1
Sb1 Sb 0.240 0.000 0.707 1
Mo1 Mo 0.000 0.500 0.500 1
```

***

Entry ii
A geometry-optimized YSb2Mo structure. Source: the Alexandria database, functional PBE.

Calculated values
Crystal system: tetragonal

Geometry as CIF:
```
data_YSb2Mo
_cell_length_a 4.463
_cell_length_b 4.463
_cell_length_c 20.159
_cell_angle_alpha 90.00
_cell_angle_beta 90.00
_cell_angle_gamma 90.00
_symmetry_space_group_name_H-M 'I -4 2 d'
_symmetry_Int_Tables_number 122
_symmetry_space_group_name_Hall 'I -4 2bw'
loop_
_atom_site_label
_atom_site_type_symbol
_atom_site_fract_x
_atom_site_fract_y
_atom_site_fract_z
_atom_site_occupancy
Y1 Y 0.000 0.000 0.000 1
Sb1 Sb 0.219 0.250 0.625 1
Mo1 Mo 0.000 0.000 0.500 1
```

***

The winner here is entry i, beating the second structure by 0.465 eV/atom.